[1]
Here is YZn2Ag after structural relaxation from Alexandria. Energies are from PBE.

The space group is Amm2 (No. 38) and the conventional cell measures 4.155, 3.452 and 11.166 Å, with angles of 90.00, 90.00 and 90.00 degrees. The distinct sites, in fractional coordinates, are Y at (0.000, 0.000, 0.000), Zn at (0.000, 0.000, 0.736), Zn at (0.500, 0.000, 0.611) and Ag at (0.500, 0.000, 0.327).

The formation energy from the elements comes out at -0.187 eV per atom. The value obtained for the density of states at the Fermi level is 4.4 states/eV/cell. The size of the total moment comes out at 0.00 μB per formula unit.

---

[2]
Here is Y2ZnAg after structural relaxation from Alexandria. Energies are from PBE.

The space group is P4/mmm (No. 123) and the conventional cell measures 5.099, 5.099 and 3.635 Å, with angles of 90.00, 90.00 and 90.00 degrees. The distinct sites, in fractional coordinates, are Y at (0.000, 0.500, 0.000), Zn at (0.000, 0.000, 0.500) and Ag at (0.500, 0.500, 0.500).

The formation energy from the elements comes out at -0.342 eV per atom. The value obtained for the density of states at the Fermi level is 2.9 states/eV/cell. The size of the total moment comes out at 0.00 μB per formula unit.

---

[3]
Here is YZnAg after structural relaxation from Alexandria. Energies are from PBE.

The space group is P-6m2 (No. 187) and the conventional cell measures 4.6098, 4.6098 and 3.4889 Å, with angles of 90.00, 90.00 and 120.00 degrees. The distinct sites, in fractional coordinates, are Y at (0.0000, 0.0000, 0.0000), Zn at (0.6667, 0.3333, 0.5000) and Ag at (0.3333, 0.6667, 0.5000).

The formation energy from the elements comes out at -0.329 eV per atom. The value obtained for the density of states at the Fermi level is 3.0 states/eV/cell. The size of the total moment comes out at 0.00 μB per formula unit.

---

[4]
Here is Y6ZnAg2 after structural relaxation from Alexandria. Energies are from PBE.

The space group is Immm (No. 71) and the conventional cell measures 9.711, 10.028 and 10.095 Å, with angles of 90.00, 90.00 and 90.00 degrees. The distinct sites, in fractional coordinates, are Y at (0.000, 0.173, 0.222), Y at (0.175, 0.500, 0.236), Y at (0.193, 0.250, 0.500), Zn at (0.000, 0.000, 0.500), Zn at (0.000, 0.500, 0.500), Ag at (0.000, 0.365, 0.000) and Ag at (0.147, 0.000, 0.000).

The formation energy from the elements comes out at -0.183 eV per atom. The value obtained for the density of states at the Fermi level is 38.2 states/eV/cell. The size of the total moment comes out at 0.00 μB per formula unit.

---

[5]
Here is YZn2Ag after structural relaxation from Alexandria. Energies are from PBE.

The space group is I-42d (No. 122) and the conventional cell measures 4.378, 4.378 and 18.732 Å, with angles of 90.00, 90.00 and 90.00 degrees. The distinct sites, in fractional coordinates, are Y at (0.000, 0.000, 0.000), Zn at (0.143, 0.250, 0.625) and Ag at (0.000, 0.000, 0.500).

The formation energy from the elements comes out at -0.003 eV per atom. The value obtained for the density of states at the Fermi level is 10.4 states/eV/cell. The size of the total moment comes out at 0.00 μB per formula unit.

---

[6]
Here is YZn4Ag4 after structural relaxation from Alexandria. Energies are from PBE.

The space group is I4/m (No. 87) and the conventional cell measures 8.500, 8.500 and 4.688 Å, with angles of 90.00, 90.00 and 90.00 degrees. The distinct sites, in fractional coordinates, are Y at (0.000, 0.000, 0.000), Zn at (0.116, 0.212, 0.500) and Ag at (0.082, 0.358, 0.000).

The formation energy from the elements comes out at -0.050 eV per atom. The value obtained for the density of states at the Fermi level is 9.4 states/eV/cell. The size of the total moment comes out at 0.00 μB per formula unit.

---

[7]
Here is Y2ZnAg after structural relaxation from Alexandria. Energies are from PBE.

The space group is I-42d (No. 122) and the conventional cell measures 7.792, 7.792 and 7.050 Å, with angles of 90.00, 90.00 and 90.00 degrees. The distinct sites, in fractional coordinates, are Y at (0.247, 0.750, 0.125), Zn at (0.000, 0.000, 0.000) and Ag at (0.000, 0.000, 0.500).

The formation energy from the elements comes out at 0.080 eV per atom. The value obtained for the density of states at the Fermi level is 24.3 states/eV/cell. The size of the total moment comes out at 0.00 μB per formula unit.

---

[8]
Here is YZnAg2 after structural relaxation from Alexandria. Energies are from PBE.

The space group is I-42d (No. 122) and the conventional cell measures 4.250, 4.250 and 19.722 Å, with angles of 90.00, 90.00 and 90.00 degrees. The distinct sites, in fractional coordinates, are Y at (0.000, 0.000, 0.000), Zn at (0.000, 0.000, 0.500) and Ag at (0.214, 0.250, 0.625).

The formation energy from the elements comes out at 0.054 eV per atom. The value obtained for the density of states at the Fermi level is 13.3 states/eV/cell. The size of the total moment comes out at 0.00 μB per formula unit.

---

- Which of these has the lowest formation energy from the elements?
  number 2

---

- Among the records above, which one has the lowest formation energy from the elements?
  number 2